[1]
VASP calculation (PBE) on a relaxed Ca2CePrSe4 crystal.

```
Ca2CePrSe4
1.0
7.264 0.000 0.000
0.000 4.194 0.000
-2.421 0.000 7.017
Ca Ce Pr Se
2 1 1 4
Cartesian
0.000 0.000 0.000
3.632 2.097 0.000
-1.211 2.097 3.508
2.422 0.000 3.508
1.197 2.097 1.697
-0.011 0.000 5.314
4.854 0.000 1.702
3.646 2.097 5.319
```

Computed properties:
E_form (uncorrected) (eV/atom): -1.8848
Total magnetic moment (μB/f.u.): 1.46
Crystal system: monoclinic


[2]
VASP calculation (PBE) on a relaxed Ce2Be2AlCo5 crystal.

```
Ce2Be2AlCo5
1.0
9.050 0.000 0.000
0.000 9.050 0.000
0.000 0.000 3.229
Ce Be Al Co
4 4 2 10
Cartesian
1.628 2.897 0.000
2.897 7.422 0.000
6.154 1.628 0.000
7.422 6.154 0.000
1.042 5.567 0.000
3.483 1.042 0.000
5.567 8.008 0.000
8.008 3.483 0.000
0.000 0.000 0.000
4.525 4.525 0.000
0.000 4.525 1.614
0.624 7.077 1.614
1.974 0.624 1.614
2.551 5.149 1.614
3.901 2.551 1.614
4.525 0.000 1.614
5.149 6.499 1.614
6.499 3.901 1.614
7.077 8.426 1.614
8.426 1.974 1.614
```

Computed properties:
Total magnetic moment (μB/f.u.): 0.00
Crystal system: tetragonal
Formation energy (eV/atom): -0.284


[3]
VASP calculation (PBE) on a relaxed Tl3BiO3 crystal.

```
Tl3BiO3
1.0
10.208 0.000 0.000
0.000 10.213 0.000
0.000 0.000 6.143
Tl Bi O
12 4 12
Cartesian
1.277 1.310 0.000
1.308 8.926 3.072
1.374 6.477 0.000
3.731 1.371 3.072
3.796 3.820 0.000
3.827 6.417 3.072
6.381 3.796 3.072
6.412 6.393 0.000
6.478 8.842 3.072
8.835 3.736 0.000
8.901 1.287 3.072
8.932 8.903 0.000
1.247 3.863 3.072
3.857 8.970 0.000
6.352 1.243 0.000
8.961 6.350 3.072
1.109 6.224 3.072
1.172 1.629 3.072
1.618 9.043 0.000
3.486 3.937 3.072
3.932 6.736 0.000
3.996 1.118 0.000
6.213 9.095 0.000
6.276 3.477 0.000
6.722 6.276 3.072
8.590 1.170 0.000
9.036 8.584 3.072
9.100 3.989 3.072
```

Computed properties:
E_form (uncorrected) (eV/atom): -0.5828
Total magnetic moment (μB/f.u.): 0.00
Crystal system: orthorhombic


[4]
VASP calculation (PBE) on a relaxed MgIrPdO6 crystal.

```
MgIrPdO6
1.0
5.146 0.000 0.000
-2.573 4.457 0.000
0.000 0.000 9.011
Mg Ir Pd O
2 2 2 12
Cartesian
0.000 0.000 0.000
0.000 0.000 4.506
0.000 2.971 2.253
2.573 1.486 6.758
0.000 2.971 6.758
2.573 1.486 2.253
-0.861 1.583 1.179
-1.633 2.920 3.326
0.861 1.583 3.326
-0.772 4.411 1.179
1.801 0.046 5.685
0.940 1.537 7.832
1.633 2.920 1.179
0.772 4.411 3.326
3.345 0.046 7.832
1.712 2.874 5.685
4.206 1.537 5.685
3.434 2.874 7.832
```

Computed properties:
E_form (uncorrected) (eV/atom): -0.9254
Total magnetic moment (μB/f.u.): 2.64
Crystal system: trigonal


Number 1: DOS(E_F) 0.998 states/eV per atom. Number 2: DOS(E_F) 0.676 states/eV per atom. Number 3: DOS(E_F) 0.193 states/eV per atom. Number 4: DOS(E_F) 0.551 states/eV per atom.